[1]
Material: Er4CdCu2Au
Method: DFT, GGA-PBE
State: optimized geometry

Geometry as POSCAR:
```
Er4CdCu2Au
1.0
5.006 0.000 0.000
2.503 4.335 0.000
2.503 1.445 8.238
Er Cd Cu Au
4 1 2 1
Cartesian
5.006 2.890 7.117
7.509 4.335 3.161
2.503 1.445 5.077
5.006 2.890 1.122
0.000 0.000 0.000
7.509 4.335 6.365
2.503 1.445 1.874
5.006 2.890 4.119
```

Output
total energy: -4.243 eV/atom
space group: R-3m (166)
calculated volume: 22.351 A^3/atom
spin magnetization: 0.00 μB/cell
crystal system: trigonal
energy relative to the elements: -0.4134 eV per atom

[2]
Material: CrTeRu2
Method: DFT, GGA-PBE
State: optimized geometry

Geometry as POSCAR:
```
CrTeRu2
1.0
4.870 -0.023 0.286
3.878 2.946 0.286
0.891 0.298 4.444
Cr Ru Te
1 2 1
Cartesian
2.391 0.799 0.960
8.708 2.910 0.904
7.252 2.423 3.500
4.855 1.622 2.733
```

Output
total energy: -7.536 eV/atom
space group: Cm (8)
calculated volume: 15.826 A^3/atom
spin magnetization: 2.50 μB/cell
ΔE_f (raw): 293 meV/atom
crystal system: monoclinic

[3]
Material: La7ErTm3
Method: DFT, GGA-PBE
State: optimized geometry

Geometry as POSCAR:
```
La7ErTm3
1.0
5.986 -0.156 -0.200
-2.756 8.139 0.982
-2.756 -1.020 8.135
La Er Tm
7 1 3
Cartesian
0.103 1.450 1.857
0.146 -0.468 4.796
0.328 2.197 8.208
0.146 4.766 0.709
-2.756 3.560 4.558
0.328 7.431 4.121
0.371 5.513 7.060
0.237 3.482 4.459
-2.756 6.254 2.454
2.993 -0.078 -0.100
-2.756 0.865 6.663
```

Output
offset from the most stable computed form: 7.9 kJ/mol of atoms
total energy: -4.552 eV/atom
space group: Immm (71)
calculated volume: 35.835 A^3/atom
spin magnetization: 0.00 μB/cell
crystal system: orthorhombic
energy relative to the elements: 0.2177 eV per atom

[4]
Material: LiAuO3
Method: DFT, GGA-PBE
State: optimized geometry

Geometry as POSCAR:
```
LiAuO3
1.0
-0.056 -0.600 -3.973
3.618 -1.735 0.211
-1.747 -3.574 0.564
Au O Li
1 3 1
Cartesian
0.000 0.000 0.000
1.809 -0.868 0.106
-0.874 -1.787 0.282
-0.028 -0.300 -1.986
0.907 -2.955 -1.599
```

Output
total energy: -3.967 eV/atom
space group: Pm-3m (221)
calculated volume: 12.974 A^3/atom
spin magnetization: 1.14 μB/cell
ΔE_f (raw): 46 meV/atom
crystal system: cubic

[5]
Material: CuNiPd2
Method: DFT, GGA-PBE
State: optimized geometry

Geometry as POSCAR:
```
CuNiPd2
1.0
10.089 0.000 0.000
5.044 2.620 0.221
5.044 1.126 2.376
Cu Ni Pd
1 1 2
Cartesian
5.044 0.000 0.000
0.000 0.000 0.000
7.638 0.000 0.000
2.451 0.000 0.000
```

Output
total energy: -4.666 eV/atom
space group: Immm (71)
calculated volume: 15.068 A^3/atom
spin magnetization: 1.13 μB/cell
crystal system: orthorhombic
energy relative to the elements: 0.3996 eV per atom

[6]
Material: AgBiP2Cl
Method: DFT, GGA-PBE
State: optimized geometry

Geometry as POSCAR:
```
AgBiP2Cl
1.0
5.355 0.000 0.000
0.000 5.355 0.000
0.000 0.000 5.383
P Bi Ag Cl
2 1 1 1
Cartesian
0.000 2.677 0.000
2.677 0.000 0.000
0.000 0.000 0.000
2.677 2.677 2.692
0.000 0.000 2.692
```

Output
offset from the most stable computed form: 22.6 kJ/mol of atoms
total energy: -2.998 eV/atom
space group: P4/mmm (123)
calculated volume: 30.873 A^3/atom
spin magnetization: 1.49 μB/cell
ΔE_f (raw): 882 meV/atom
crystal system: tetragonal